A plane-wave DFT calculation with GGA+U was carried out for a geometry-optimized Ag2Te4MoO12 structure.

Summary:
The value obtained for the density is 5.69 g/cm³. Its uncorrected energy is -207.53 eV/cell.

POSCAR file:
```
Ag2Te4MoO12
1.0
9.3379 -0.0313 0.0597
7.4679 5.6060 0.0597
2.8201 0.9354 11.2683
O Te Ag Mo
24 8 4 2
Cartesian
11.7000 1.5042 9.8271 O
3.8721 1.1425 4.7310 O
3.9502 0.6615 7.5518 O
8.7684 1.9835 1.6586 O
9.6256 4.1180 7.2928 O
11.3907 4.7690 2.8476 O
14.9534 5.4095 10.5580 O
13.3928 3.4519 8.4818 O
10.7564 1.1911 7.1947 O
10.0002 2.3921 4.0949 O
8.8694 5.3189 4.1930 O
2.1524 1.3628 1.9177 O
10.8574 4.5266 9.7290 O
13.8119 4.1322 4.9238 O
15.6756 5.8486 3.8358 O
5.8139 2.3779 6.4638 O
14.4286 4.6441 1.0225 O
4.6724 1.1006 0.8297 O
17.4734 5.1472 9.4700 O
5.1973 1.8659 10.3651 O
8.2351 1.7411 8.5401 O
15.7538 5.3676 6.6567 O
7.9258 5.0059 1.5605 O
6.2331 3.0581 2.9059 O
8.9765 1.6063 6.7803 Te
13.2587 2.2970 6.4843 Te
6.7469 3.6093 1.1461 Te
9.0329 0.8952 10.5376 Te
10.6494 4.9038 4.6074 Te
12.8790 2.9008 10.2415 Te
10.5929 5.6148 0.8501 Te
6.3672 4.2131 4.9034 Te
6.5550 3.5062 8.7255 Ag
13.0708 3.0038 2.6622 Ag
13.6849 5.8713 8.2963 Ag
5.9410 0.6388 3.0913 Ag
9.7360 1.1276 2.8768 Mo
9.8898 5.3825 8.5109 Mo
```